# Be2W

Be2W at its PBEsol-relaxed geometry (SCAN, Alexandria via LeMat-Bulk).

Geometry as POSCAR:
```
Be2W
1.0
-3.5848 1.5991 -2.0407
1.1109 -4.2542 -0.4897
-4.0685 -1.7291 5.7919
Be W
8 4
direct
0.6597 0.8299 0.7500
0.3403 0.1701 0.2500
0.8299 0.6597 0.2500
0.0000 0.0000 0.5000
0.8299 0.1701 0.2500
0.0000 0.0000 0.0000
0.1701 0.3403 0.7500
0.1701 0.8299 0.7500
0.6667 0.3333 0.5628
0.6667 0.3333 0.9372
0.3333 0.6667 0.4372
0.3333 0.6667 0.0628
```

Results
Space group = P6_3/mmc (194)
Formation energy = -86 kJ/mol of formula units
Total magnetic moment = 0.000 μB/atom
Total energy = -26.427 eV per atom

# Be3W

Be3W at its PBEsol-relaxed geometry (SCAN, Alexandria via LeMat-Bulk).

Geometry as POSCAR:
```
Be3W
1.0
-2.2358 -2.6747 -1.6556
-0.5027 -3.4228 1.7105
-3.4149 -0.8949 1.5593
Be W
3 1
direct
0.7500 0.7500 0.7500
0.5000 0.5000 0.5000
0.2500 0.2500 0.2500
0.0000 0.0000 0.0000
```

Results
Energy relative to the lowest polymorph listed for this composition = 0.0000 eV/atom
Space group = Fm-3m (225)
Formation energy = 139 kJ/mol of formula units
Total magnetic moment = 0.298 μB/atom
Total energy = -20.328 eV per atom

# BeW3

BeW3 at its PBEsol-relaxed geometry (SCAN, Alexandria via LeMat-Bulk).

Geometry as POSCAR:
```
BeW3
1.0
3.8500 0.0000 0.0000
0.0000 3.8500 0.0000
0.0000 0.0000 3.8500
W Be
3 1
direct
0.0000 0.5000 0.5000
0.5000 0.5000 0.0000
0.5000 0.0000 0.5000
0.0000 0.0000 0.0000
```

Results
Energy relative to the lowest polymorph listed for this composition = 0.1486 eV/atom
Space group = Pm-3m (221)
Formation energy = 102 kJ/mol of formula units
Total magnetic moment = 0.000 μB/atom
Total energy = -53.090 eV per atom

# BeW3

BeW3 at its PBEsol-relaxed geometry (SCAN, Alexandria via LeMat-Bulk).

Geometry as POSCAR:
```
BeW3
1.0
-1.8531 -1.0803 -2.3288
3.4670 -0.7517 -2.4100
-0.5524 -2.9938 3.9805
Be W
1 3
direct
0.0000 0.0000 0.0000
0.5000 0.5000 0.0000
0.2477 0.7475 0.4953
0.7523 0.2525 0.5047
```

Results
Energy relative to the lowest polymorph listed for this composition = 0.1227 eV/atom
Space group = C2/m (12)
Formation energy = 92 kJ/mol of formula units
Total magnetic moment = 0.000 μB/atom
Total energy = -53.115 eV per atom

# BeW3

BeW3 at its PBEsol-relaxed geometry (SCAN, Alexandria via LeMat-Bulk).

Geometry as POSCAR:
```
BeW3
1.0
2.6353 0.0000 0.0000
0.0000 4.0380 0.0000
0.0000 0.0000 5.4840
W Be
3 1
direct
0.5000 0.5000 0.2338
0.5000 0.5000 0.7662
0.0000 0.0000 0.5000
0.0000 0.0000 0.0000
```

Results
Energy relative to the lowest polymorph listed for this composition = 0.2558 eV/atom
Space group = Pmmm (47)
Formation energy = 144 kJ/mol of formula units
Total magnetic moment = 0.000 μB/atom
Total energy = -52.982 eV per atom

# BeW3

BeW3 at its PBEsol-relaxed geometry (SCAN, Alexandria via LeMat-Bulk).

Geometry as POSCAR:
```
BeW3
1.0
-1.3474 -2.0439 -1.0514
2.0141 0.6253 -3.7967
4.0777 -2.4762 1.7553
Be W
1 3
direct
0.0000 0.0000 0.0000
0.2385 0.5000 0.7544
0.5000 0.0000 0.5000
0.7615 0.5000 0.2456
```

Results
Energy relative to the lowest polymorph listed for this composition = 0.0967 eV/atom
Space group = P2/m (10)
Formation energy = 82 kJ/mol of formula units
Total magnetic moment = 0.000 μB/atom
Total energy = -53.141 eV per atom